Record 1
An optimized crystal structure of Li2HfTlO. Source: the Alexandria database, functional PBE.

Properties
DOS at the Fermi energy in states/eV per cell: 1.6
Space group: No. 123

a b c (Å): 4.3121 4.3121 4.1917
angles (deg): 90.00 90.00 90.00
Closest atoms and distances in Å follow each position.
Sites, in units of the cell vectors:
1 Tl 0.5000 0.5000 0.5000  8 Li 3.01, 4 Hf 3.05
2 Hf 0.0000 0.0000 0.5000  2 O 2.10
3 O 0.0000 0.0000 0.0000  2 Hf 2.10, 4 Li 2.16
4 Li 0.0000 0.5000 0.0000  2 O 2.16
5 Li 0.5000 0.0000 0.0000  2 O 2.16

---

Record 2
An optimized crystal structure of LiHf2TlO. Source: the Alexandria database, functional PBE.

Properties
DOS at the Fermi energy in states/eV per cell: 2.6
Space group: No. 123

a b c (Å): 4.4040 4.4040 4.2877
angles (deg): 90.00 90.00 90.00
Closest atoms and distances in Å follow each position.
Sites, in units of the cell vectors:
1 Tl 0.5000 0.5000 0.5000  8 Hf 3.07, 4 Li 3.11
2 Hf 0.0000 0.5000 0.0000  2 O 2.20
3 Hf 0.5000 0.0000 0.0000  2 O 2.20
4 O 0.0000 0.0000 0.0000  2 Li 2.14, 4 Hf 2.20
5 Li 0.0000 0.0000 0.5000  2 O 2.14

---

Number 1: E_tot -26.63 eV per cell. Number 2: E_tot -34.18 eV per cell.